Here is CuTeI2Cl at its PBEsol-relaxed geometry from Alexandria via LeMat-Bulk. Energies are from SCAN.

Calculated values
space group: No. 123

abc: 5.1416 5.1671 5.1671
angles: 90.00 90.00 90.00
Last column: nearest neighbours and their distance in Å.
Atoms (fractional coordinates):
I 0.0000 0.0000 0.5000  2 Cu 2.58
I 0.0000 0.5000 0.0000  2 Cu 2.58
Te 0.5000 0.0000 0.0000  2 Cu 2.57
Cu 0.0000 0.0000 0.0000  2 Te 2.57, 4 I 2.58
Cl 0.5000 0.5000 0.5000  8 I 3.64, 4 Te 3.65

***

Here is In2CuCl at its PBEsol-relaxed geometry from Alexandria via LeMat-Bulk. Energies are from SCAN.

Calculated values
space group: No. 47
polymorph energy (0 for the lowest one): 45 meV per atom

abc: 3.2169 4.7551 5.5353
angles: 90.00 90.00 89.98
Last column: nearest neighbours and their distance in Å.
Atoms (fractional coordinates):
Cl 0.6254 0.3748 0.0000  6 In 2.77-2.87
Cu 0.1247 0.8751 0.5000  6 In 2.77-2.87
In 0.1253 0.8748 0.0000  2 Cu 2.77, 4 Cl 2.87
In 0.6246 0.3754 0.5000  2 Cl 2.77, 4 Cu 2.87

***

Here is In2CuCl at its PBEsol-relaxed geometry from Alexandria via LeMat-Bulk. Energies are from SCAN.

Calculated values
space group: No. 166
polymorph energy (0 for the lowest one): 0 meV per atom

abc: 3.6227 3.6227 7.7930
angles: 76.56 76.56 60.00
Last column: nearest neighbours and their distance in Å.
Atoms (fractional coordinates):
Cl 0.5000 0.5000 0.5000  6 In 3.01
Cu 0.0000 0.0000 0.0000  6 In 2.63
In 0.2625 0.2625 0.2125  3 Cu 2.63
In 0.7375 0.7375 0.7875  3 Cu 2.63

***

| no. | uncorrected formation energy (eV/atom) |
| --- | --- |
| 1 | 0.292 |
| 2 | -0.182 |
| 3 | -0.227 |